Record 1
A relaxed structure of SrSn2BiI, computed with PBE.

The structure belongs to space group P4/mmm (No. 123); the cell edges are 5.902, 5.902 and 6.047 Å and the angles 90.00°, 90.00° and 90.00°. The asymmetric unit holds Sr at (0.000, 0.000, 0.000), Sn at (0.000, 0.500, 0.500), Bi at (0.500, 0.500, 0.000) and I at (0.000, 0.000, 0.500).

The calculation puts the volume at 210.7 Å³/cell. Its uncorrected formation energy is 265 meV/atom. The density of states at the Fermi level comes out at 0.793 states/eV/atom.



Record 2
A relaxed structure of BaPRh3, computed with PBE.

The structure belongs to space group Pm-3m (No. 221); the cell edges are 4.589, 4.589 and 4.589 Å and the angles 90.00°, 90.00° and 90.00°. The asymmetric unit holds Ba at (0.000, 0.000, 0.000), P at (0.500, 0.500, 0.500) and Rh at (0.000, 0.500, 0.500).

The calculation puts the energy above the most stable polymorph in this dataset at 0 kJ/mol of formula units. The calculation puts the volume at 96.6 Å³/cell. The formation energy comes out at -407 meV/atom. The density of states at the Fermi level comes out at 0.263 states/eV/atom.



Record 3
A relaxed structure of Zr2CdRu, computed with PBE.

The structure belongs to space group Cm (No. 8); the cell edges are 11.152, 3.346 and 4.761 Å and the angles 90.00°, 115.22° and 90.00°. The asymmetric unit holds Zr at (0.000, 0.000, 0.000), Zr at (0.221, 0.000, 0.721), Cd at (0.280, 0.500, 0.280) and Ru at (0.013, 0.500, 0.512).

The calculation puts the volume at 160.7 Å³/cell. The formation energy comes out at -167 meV/atom. The density of states at the Fermi level comes out at 0.973 states/eV/atom.



Record 4
A relaxed structure of InCoSeBr2, computed with PBE.

The structure belongs to space group P4/mmm (No. 123); the cell edges are 5.433, 5.433 and 5.503 Å and the angles 90.00°, 90.00° and 90.00°. The asymmetric unit holds In at (0.000, 0.000, 0.000), Co at (0.500, 0.500, 0.500), Se at (0.000, 0.000, 0.500) and Br at (0.000, 0.500, 0.000).

The calculation puts the energy above the most stable polymorph in this dataset at 279 kJ/mol of formula units. The calculation puts the volume at 162.4 Å³/cell. Its uncorrected formation energy is 489 meV/atom. The density of states at the Fermi level comes out at 1.894 states/eV/atom.



Record 5
A relaxed structure of Re2MoSe, computed with PBE.

The structure belongs to space group Imm2 (No. 44); the cell edges are 2.996, 4.505 and 9.016 Å and the angles 90.00°, 90.00° and 90.00°. The asymmetric unit holds Re at (0.000, 0.000, 0.000), Re at (0.000, 0.500, 0.242), Mo at (0.000, 0.000, 0.458) and Se at (0.000, 0.500, 0.729).

The calculation puts the volume at 121.7 Å³/cell. Its uncorrected formation energy is 368 meV/atom. The density of states at the Fermi level comes out at 0.700 states/eV/atom.



Record 6
A relaxed structure of YTcN3, computed with PBE.

The structure belongs to space group P1 (No. 1); the cell edges are 3.822, 5.879 and 6.727 Å and the angles 79.40°, 86.25° and 76.53°. The asymmetric unit holds Y at (0.000, 0.000, 0.000), Y at (0.375, 0.068, 0.445), Tc at (0.680, 0.524, 0.323), Tc at (0.950, 0.568, 0.674), N at (0.208, 0.491, 0.425), N at (0.350, 0.314, 0.823), N at (0.547, 0.826, 0.167), N at (0.659, 0.348, 0.795), N at (0.851, 0.212, 0.259) and N at (0.921, 0.878, 0.677).

The calculation puts the volume at 144.5 Å³/cell. Its uncorrected formation energy is -484 meV/atom. The density of states at the Fermi level comes out at 0.204 states/eV/atom.



Record 7
A relaxed structure of MnCoRu4, computed with PBE.

The structure belongs to space group F-43m (No. 216); the cell edges are 7.119, 7.119 and 7.119 Å and the angles 90.00°, 90.00° and 90.00°. The asymmetric unit holds Mn at (0.000, 0.000, 0.000), Co at (0.250, 0.250, 0.250) and Ru at (0.125, 0.125, 0.625).

The calculation puts the volume at 360.8 Å³/cell. The formation energy comes out at 635 meV/atom. The density of states at the Fermi level comes out at 1.494 states/eV/atom.



Record 8
A relaxed structure of K2HgPb, computed with PBE.

The structure belongs to space group P4mm (No. 99); the cell edges are 4.007, 4.007 and 10.203 Å and the angles 90.00°, 90.00° and 90.00°. The asymmetric unit holds K at (0.000, 0.000, 0.000), K at (0.500, 0.500, 0.387), Hg at (0.500, 0.500, 0.799) and Pb at (0.000, 0.000, 0.627).

The calculation puts the volume at 163.8 Å³/cell. The formation energy comes out at -89 meV/atom. The density of states at the Fermi level comes out at 0.647 states/eV/atom.



Record 9
A relaxed structure of Sr2LaBe, computed with PBE.

The structure belongs to space group I-4m2 (No. 119); the cell edges are 5.772, 5.772 and 8.151 Å and the angles 90.00°, 90.00° and 90.00°. The asymmetric unit holds Sr at (0.000, 0.000, 0.000), Sr at (0.000, 0.500, 0.250), La at (0.000, 0.000, 0.500) and Be at (0.000, 0.500, 0.750).

The calculation puts the volume at 271.6 Å³/cell. The formation energy comes out at 535 meV/atom. The density of states at the Fermi level comes out at 1.054 states/eV/atom.



Record 10
A relaxed structure of BaAuIO2, computed with PBE.

The structure belongs to space group P4/mmm (No. 123); the cell edges are 4.638, 4.638 and 5.264 Å and the angles 90.00°, 90.00° and 90.00°. The asymmetric unit holds Ba at (0.000, 0.000, 0.000), Au at (0.500, 0.500, 0.500), I at (0.500, 0.500, 0.000) and O at (0.000, 0.500, 0.500).

The calculation puts the energy above the most stable polymorph in this dataset at 0 kJ/mol of formula units. The calculation puts the volume at 113.3 Å³/cell. Its uncorrected formation energy is -501 meV/atom. The density of states at the Fermi level comes out at 1.091 states/eV/atom.



Record 11
A relaxed structure of KLaZr2, computed with PBE.

The structure belongs to space group P4mm (No. 99); the cell edges are 3.321, 3.321 and 11.973 Å and the angles 90.00°, 90.00° and 90.00°. The asymmetric unit holds K at (0.000, 0.000, 0.000), La at (0.500, 0.500, 0.322), Zr at (0.000, 0.000, 0.541) and Zr at (0.500, 0.500, 0.712).

The calculation puts the energy above the most stable polymorph in this dataset at 0 kJ/mol of formula units. The calculation puts the volume at 132.1 Å³/cell. The formation energy comes out at 323 meV/atom. The density of states at the Fermi level comes out at 1.259 states/eV/atom.



Record 12
A relaxed structure of Th6Ge3BiAs2, computed with PBE.

The structure belongs to space group C2/m (No. 12); the cell edges are 18.921, 4.328 and 8.711 Å and the angles 90.00°, 103.35° and 90.00°. The asymmetric unit holds Th at (0.001, 0.000, 0.270), Th at (0.166, 0.500, 0.585), Th at (0.174, 0.500, 0.086), Ge at (0.000, 0.500, 0.500), Ge at (0.164, 0.000, 0.832), Bi at (0.000, 0.500, 0.000) and As at (0.168, 0.000, 0.334).

The calculation puts the volume at 694.2 Å³/cell. The formation energy comes out at -952 meV/atom. The density of states at the Fermi level comes out at 0.558 states/eV/atom.



The lowest density of states at the Fermi level belongs to which entry?
YTcN3